#one
The following is a PBE calculation of crystalline As2Pb2I at its relaxed geometry, from Alexandria.

Calculated values
SG ... No. 127
Density ... 7.05 g cm⁻³

a = 9.093 Å, b = 9.093 Å, c = 3.939 Å
α = 90.00°, β = 90.00°, γ = 90.00°
Fractional positions:
As (0.098, 0.402, 0.000)
As (0.402, 0.902, 0.000)
As (0.598, 0.098, 0.000)
As (0.902, 0.598, 0.000)
Pb (0.154, 0.654, 0.500)
Pb (0.346, 0.154, 0.500)
Pb (0.654, 0.846, 0.500)
Pb (0.846, 0.346, 0.500)
I (0.000, 0.000, 0.500)
I (0.500, 0.500, 0.500)

---

#two
The following is a PBE calculation of crystalline As2Pb2I at its relaxed geometry, from Alexandria.

Calculated values
SG ... No. 139
Density ... 7.57 g cm⁻³

a = 6.234 Å, b = 6.234 Å, c = 6.234 Å
α = 126.46°, β = 126.46°, γ = 79.13°
Fractional positions:
As (0.124, 0.124, 0.000)
As (0.876, 0.876, 0.000)
Pb (0.250, 0.750, 0.500)
Pb (0.750, 0.250, 0.500)
I (0.500, 0.500, 0.000)

---

#three
The following is a PBE calculation of crystalline As2Pb2I at its relaxed geometry, from Alexandria.

Calculated values
SG ... No. 12
Density ... 6.96 g cm⁻³

a = 4.472 Å, b = 4.472 Å, c = 8.710 Å
α = 101.16°, β = 101.16°, γ = 77.61°
Fractional positions:
As (0.224, 0.776, 0.000)
As (0.776, 0.224, 0.000)
Pb (0.336, 0.336, 0.242)
Pb (0.664, 0.664, 0.758)
I (0.000, 0.000, 0.500)

---

Verdict on stability: #two comes out on top.

---

#one
The following is a PBE calculation of crystalline As2Pb2I at its relaxed geometry, from Alexandria.

Calculated values
SG ... No. 127
Density ... 7.36 g cm⁻³

a = 8.926 Å, b = 8.926 Å, c = 3.916 Å
α = 90.00°, β = 90.00°, γ = 90.00°
Fractional positions:
As (0.100, 0.400, 0.000)
As (0.400, 0.900, 0.000)
As (0.600, 0.100, 0.000)
As (0.900, 0.600, 0.000)
Pb (0.157, 0.657, 0.500)
Pb (0.343, 0.157, 0.500)
Pb (0.657, 0.843, 0.500)
Pb (0.843, 0.343, 0.500)
I (0.000, 0.000, 0.000)
I (0.500, 0.500, 0.000)

---

#two
The following is a PBE calculation of crystalline As2Pb2I at its relaxed geometry, from Alexandria.

Calculated values
SG ... No. 139
Density ... 7.39 g cm⁻³

a = 8.917 Å, b = 8.917 Å, c = 8.917 Å
α = 152.08°, β = 152.08°, γ = 39.90°
Fractional positions:
As (0.250, 0.750, 0.500)
As (0.750, 0.250, 0.500)
Pb (0.123, 0.123, 0.000)
Pb (0.877, 0.877, 0.000)
I (0.500, 0.500, 0.000)

---

Verdict on stability: #two comes out on top.

---

#one
The following is a PBE calculation of crystalline AsPb3I at its relaxed geometry, from Alexandria.

Calculated values
SG ... No. 221
Density ... 7.07 g cm⁻³

a = 5.783 Å, b = 5.783 Å, c = 5.783 Å
α = 90.00°, β = 90.00°, γ = 90.00°
Fractional positions:
As (0.000, 0.000, 0.000)
Pb (0.000, 0.000, 0.500)
Pb (0.000, 0.500, 0.000)
Pb (0.500, 0.000, 0.000)
I (0.500, 0.500, 0.500)

---

#two
The following is a PBE calculation of crystalline AsPb3I at its relaxed geometry, from Alexandria.

Calculated values
SG ... No. 221
Density ... 6.43 g cm⁻³

a = 5.969 Å, b = 5.969 Å, c = 5.969 Å
α = 90.00°, β = 90.00°, γ = 90.00°
Fractional positions:
As (0.000, 0.000, 0.000)
Pb (0.000, 0.500, 0.500)
Pb (0.500, 0.000, 0.500)
Pb (0.500, 0.500, 0.000)
I (0.500, 0.500, 0.500)

---

Verdict on stability: #one comes out on top.

---

#one
The following is a PBE calculation of crystalline AsPb2I at its relaxed geometry, from Alexandria.

Calculated values
SG ... No. 123
Density ... 8.39 g cm⁻³

a = 3.825 Å, b = 3.825 Å, c = 8.339 Å
α = 90.00°, β = 90.00°, γ = 90.00°
Fractional positions:
As (0.000, 0.000, 0.000)
Pb (0.500, 0.500, 0.210)
Pb (0.500, 0.500, 0.790)
I (0.000, 0.000, 0.500)

---

#two
The following is a PBE calculation of crystalline AsPb2I at its relaxed geometry, from Alexandria.

Calculated values
SG ... No. 160
Density ... 7.46 g cm⁻³

a = 8.538 Å, b = 8.538 Å, c = 8.538 Å
α = 29.93°, β = 29.93°, γ = 29.93°
Fractional positions:
As (0.000, 0.000, 0.000)
Pb (0.401, 0.401, 0.401)
Pb (0.604, 0.604, 0.604)
I (0.825, 0.825, 0.825)

---

Verdict on stability: #two comes out on top.